# 1
# RbSrCa2, optimized geometry, DFT PBE-GGA
data_RbSrCa2
_chemical_formula_sum 'Rb1 Sr1 Ca2'
_space_group_name_H-M_alt 'P 4/m m m'
_space_group_IT_number 123
_space_group_name_Hall '-P 4 2'
_cell_length_a 6.903
_cell_length_b 6.903
_cell_length_c 4.446
_cell_angle_alpha 90.00
_cell_angle_beta 90.00
_cell_angle_gamma 90.00
loop_
_atom_site_label
_atom_site_fract_x
_atom_site_fract_y
_atom_site_fract_z
Rb1 0.000 0.000 0.000
Sr1 0.500 0.500 0.000
Ca1 0.000 0.500 0.500
# **Formation enthalpy at 0 K**: 184 meV/atom
# **Mass density**: 1.98 g/cm³
# **N(E_F)**: 3.770 states/eV/f.u.
# **Energy relative to the lowest polymorph listed for this composition**: 61 meV per atom
# **Calculated total energy**: -1.479 eV/atom
# **Spin magnetization**: 0.00 μB/cell

=====

# 2
# RbSr15Ca4, optimized geometry, DFT PBE-GGA
data_RbSr15Ca4
_chemical_formula_sum 'Rb1 Sr15 Ca4'
_space_group_name_H-M_alt 'P 4/m m m'
_space_group_IT_number 123
_space_group_name_Hall '-P 4 2'
_cell_length_a 5.960
_cell_length_b 5.960
_cell_length_c 29.876
_cell_angle_alpha 90.00
_cell_angle_beta 90.00
_cell_angle_gamma 90.00
loop_
_atom_site_label
_atom_site_fract_x
_atom_site_fract_y
_atom_site_fract_z
Rb1 0.000 0.000 0.000
Sr1 0.000 0.500 0.110
Sr2 0.000 0.500 0.305
Sr3 0.000 0.500 0.500
Sr4 0.500 0.500 0.000
Sr5 0.500 0.500 0.208
Sr6 0.500 0.500 0.402
Ca1 0.000 0.000 0.207
Ca2 0.000 0.000 0.402
# **Formation enthalpy at 0 K**: 35 meV/atom
# **Mass density**: 2.44 g/cm³
# **N(E_F)**: 22.843 states/eV/f.u.
# **Calculated total energy**: -1.675 eV/atom
# **Spin magnetization**: 0.00 μB/cell

=====

# 3
# RbSrCa2, optimized geometry, DFT PBE-GGA
data_RbSrCa2
_chemical_formula_sum 'Rb4 Sr4 Ca8'
_space_group_name_H-M_alt 'I -4 2 d'
_space_group_IT_number 122
_space_group_name_Hall 'I -4 2bw'
_cell_length_a 10.579
_cell_length_b 10.579
_cell_length_c 7.921
_cell_angle_alpha 90.00
_cell_angle_beta 90.00
_cell_angle_gamma 90.00
loop_
_atom_site_label
_atom_site_fract_x
_atom_site_fract_y
_atom_site_fract_z
Rb1 0.000 0.000 0.000
Sr1 0.000 0.000 0.500
Ca1 0.248 0.250 0.125
# **Formation enthalpy at 0 K**: 384 meV/atom
# **Mass density**: 1.90 g/cm³
# **N(E_F)**: 6.014 states/eV/f.u.
# **Energy relative to the lowest polymorph listed for this composition**: 261 meV per atom
# **Calculated total energy**: -1.279 eV/atom
# **Spin magnetization**: 0.00 μB/cell